{
  "formula": "Al3Ga5",
  "functional": "PBE",
  "state": "optimized geometry",
  "e_above_lowest_polymorph_mev_per_atom": 32,
  "e_tot_ev_per_atom": -3.22,
  "crystal_system": "hexagonal",
  "formation_enthalpy_0k_ev_per_fu": 0.59,
  "magmom_total_mub_per_atom": 0.000,
  "lattice": [[-3.4180, -0.3749, 3.7860], [0.4795, -8.1215, -0.3713], [4.9905, 4.1533, 4.9166]],
  "species": ["Al", "Al", "Al", "Al", "Al", "Al", "Ga", "Ga", "Ga", "Ga", "Ga", "Ga", "Ga", "Ga", "Ga", "Ga"],
  "fractional_positions": [[0.7500, 0.4080, 0.4080], [0.2500, 0.5920, 0.5920], [0.7500, 0.0000, 0.5920], [0.7500, 0.5920, 0.0000], [0.2500, 0.4080, 0.0000], [0.2500, 0.0000, 0.4080], [0.0000, 0.6667, 0.3333], [0.5000, 0.3333, 0.6667], [0.0000, 0.3333, 0.6667], [0.5000, 0.6667, 0.3333], [0.7500, 0.7908, 0.7908], [0.2500, 0.2092, 0.2092], [0.7500, 0.0000, 0.2092], [0.7500, 0.2092, 0.0000], [0.2500, 0.7908, 0.0000], [0.2500, 0.0000, 0.7908]]
}